(1)
YHgPb2 | GGA-PBEsol | relaxed

a = 3.660 Å, b = 4.458 Å, c = 6.529 Å
α = 90.00°, β = 90.00°, γ = 90.00°
Fractional coordinates of all 4 atoms:
Y 0.000 0.000 0.000
Hg 0.000 0.000 0.500
Pb 0.500 0.500 0.250
Pb 0.500 0.500 0.750

## Properties
Symmetry: No. 47
Formation enthalpy at 0 K in kJ/mol of formula units: -102

***

(2)
Fe2Rh | GGA-PBEsol | relaxed

a = 4.628 Å, b = 4.628 Å, c = 15.010 Å
α = 90.00°, β = 90.00°, γ = 120.00°
Fractional coordinates of all 24 atoms:
Fe 0.000 0.500 0.000
Fe 0.000 0.500 0.500
Fe 0.162 0.325 0.250
Fe 0.162 0.838 0.250
Fe 0.325 0.162 0.750
Fe 0.333 0.667 0.126
Fe 0.333 0.667 0.374
Fe 0.500 0.000 0.000
Fe 0.500 0.000 0.500
Fe 0.500 0.500 0.000
Fe 0.500 0.500 0.500
Fe 0.667 0.333 0.626
Fe 0.667 0.333 0.874
Fe 0.675 0.838 0.250
Fe 0.838 0.162 0.750
Fe 0.838 0.675 0.750
Rh 0.000 0.000 0.094
Rh 0.000 0.000 0.406
Rh 0.000 0.000 0.594
Rh 0.000 0.000 0.906
Rh 0.333 0.667 0.656
Rh 0.333 0.667 0.844
Rh 0.667 0.333 0.156
Rh 0.667 0.333 0.344

## Properties
Symmetry: No. 194
Formation enthalpy at 0 K in kJ/mol of formula units: 20

***

| no. | energy (eV/atom) | ρ (Mg/m³) | size of the total moment (μB per formula unit) |
| --- | --- | --- | --- |
| 1 | -4.110 | 10.97 | 0.000 |
| 2 | -8.620 | 10.24 | 4.083 |